Density functional theory data (PBE) for a relaxed Ho2ErO4 crystal.

Cell lengths 6.6986, 6.6986, 6.6986 Å; angles 119.99, 90.01, 119.99 degrees
Last column: nearest neighbours and their distance in Å.
Fractional coordinates of all 14 atoms:
Er 0.0000 0.0000 0.0000  4 O 2.17
Er 0.7500 0.5000 0.2500  4 O 2.17
Ho 0.3750 0.7500 0.1250  6 O 2.30
Ho 0.3750 0.2500 0.6250  6 O 2.30
Ho 0.3750 0.7500 0.6250  6 O 2.30
Ho 0.8750 0.2500 0.6250  6 O 2.30
O 0.6175 0.2351 0.3824  1 Er 2.17, 3 Ho 2.30
O 0.1473 0.7649 0.3824  1 Er 2.17, 3 Ho 2.30
O 0.6176 0.7649 0.3825  1 Er 2.17, 3 Ho 2.30
O 0.1324 0.2649 0.3973  1 Er 2.17, 3 Ho 2.30
O 0.6176 0.2351 0.8527  1 Er 2.17, 3 Ho 2.30
O 0.1324 0.7351 0.8675  1 Er 2.17, 3 Ho 2.30
O 0.1325 0.2649 0.8676  1 Er 2.17, 3 Ho 2.30
O 0.6027 0.7351 0.8676  1 Er 2.17, 3 Ho 2.30

Summary:
Raw total energy (Ry/atom): -0.5912
Total magnetic moment (μB per atom): 0.0283